# 1
Here is a relaxed structure of Na4NpIr3S8 from Alexandria. Energies are from PBE.

Calculated values
* space group: R-3m
* formation energy without anion corrections: -0.796 eV per atom

a = 7.872 Å, b = 7.872 Å, c = 7.872 Å
α = 55.33°, β = 55.33°, γ = 55.33°
Fractional coordinates of all 16 atoms:
Na 0.000 0.000 0.000
Na 0.000 0.500 0.500
Na 0.500 0.000 0.500
Na 0.500 0.500 0.000
Np 0.500 0.500 0.500
Ir 0.000 0.000 0.500
Ir 0.000 0.500 0.000
Ir 0.500 0.000 0.000
S 0.207 0.751 0.751
S 0.226 0.226 0.226
S 0.249 0.249 0.793
S 0.249 0.793 0.249
S 0.751 0.207 0.751
S 0.751 0.751 0.207
S 0.774 0.774 0.774
S 0.793 0.249 0.249

# 2
Here is a relaxed structure of Na4Np3IrS8 from Alexandria. Energies are from PBE.

Calculated values
* space group: R-3m
* formation energy without anion corrections: -1.119 eV per atom

a = 8.108 Å, b = 8.108 Å, c = 8.108 Å
α = 56.51°, β = 56.51°, γ = 56.51°
Fractional coordinates of all 16 atoms:
Na 0.000 0.000 0.000
Na 0.000 0.500 0.500
Na 0.500 0.000 0.500
Na 0.500 0.500 0.000
Np 0.000 0.000 0.500
Np 0.000 0.500 0.000
Np 0.500 0.000 0.000
Ir 0.500 0.500 0.500
S 0.244 0.244 0.244
S 0.265 0.727 0.727
S 0.273 0.273 0.735
S 0.273 0.735 0.273
S 0.727 0.265 0.727
S 0.727 0.727 0.265
S 0.735 0.273 0.273
S 0.756 0.756 0.756

# 3
Here is a relaxed structure of Na3Np2IrS6 from Alexandria. Energies are from PBE.

Calculated values
* space group: C2/m
* formation energy without anion corrections: -1.066 eV per atom

a = 6.534 Å, b = 6.534 Å, c = 7.183 Å
α = 98.75°, β = 98.75°, γ = 120.01°
Fractional coordinates of all 12 atoms:
Na 0.000 0.000 0.000
Na 0.333 0.667 0.000
Na 0.667 0.333 0.000
Np 0.167 0.833 0.500
Np 0.833 0.167 0.500
Ir 0.500 0.500 0.500
S 0.119 0.426 0.279
S 0.266 0.266 0.719
S 0.426 0.119 0.279
S 0.574 0.881 0.721
S 0.734 0.734 0.281
S 0.881 0.574 0.721

# 4
Here is a relaxed structure of Na3NpIr3S8 from Alexandria. Energies are from PBE.

Calculated values
* space group: R-3m
* formation energy without anion corrections: -0.780 eV per atom

a = 7.833 Å, b = 7.833 Å, c = 7.833 Å
α = 54.69°, β = 54.69°, γ = 54.69°
Fractional coordinates of all 15 atoms:
Na 0.000 0.500 0.500
Na 0.500 0.000 0.500
Na 0.500 0.500 0.000
Np 0.500 0.500 0.500
Ir 0.000 0.000 0.500
Ir 0.000 0.500 0.000
Ir 0.500 0.000 0.000
S 0.206 0.753 0.753
S 0.227 0.227 0.227
S 0.247 0.247 0.794
S 0.247 0.794 0.247
S 0.753 0.206 0.753
S 0.753 0.753 0.206
S 0.773 0.773 0.773
S 0.794 0.247 0.247

# 5
Here is a relaxed structure of Na3Np2IrSe6 from Alexandria. Energies are from PBE.

Calculated values
* space group: C2/m
* formation energy without anion corrections: -0.928 eV per atom

a = 6.876 Å, b = 6.876 Å, c = 7.504 Å
α = 98.83°, β = 98.83°, γ = 120.00°
Fractional coordinates of all 12 atoms:
Na 0.000 0.000 0.000
Na 0.332 0.668 0.000
Na 0.668 0.332 0.000
Np 0.167 0.833 0.500
Np 0.833 0.167 0.500
Ir 0.500 0.500 0.500
Se 0.121 0.426 0.278
Se 0.269 0.269 0.720
Se 0.426 0.121 0.278
Se 0.574 0.879 0.722
Se 0.731 0.731 0.280
Se 0.879 0.574 0.722

# 6
Here is a relaxed structure of Na3IrO from Alexandria. Energies are from PBE.

Calculated values
* space group: Pm-3m
* formation energy without anion corrections: 0.878 eV per atom

a = 5.493 Å, b = 5.493 Å, c = 5.493 Å
α = 90.00°, β = 90.00°, γ = 90.00°
Fractional coordinates of all 5 atoms:
Na 0.000 0.000 0.500
Na 0.000 0.500 0.000
Na 0.500 0.000 0.000
Ir 0.000 0.000 0.000
O 0.500 0.500 0.500

# 7
Here is a relaxed structure of NaIr3O from Alexandria. Energies are from PBE.

Calculated values
* space group: Pm-3m
* formation energy without anion corrections: 3.080 eV per atom

a = 4.604 Å, b = 4.604 Å, c = 4.604 Å
α = 90.00°, β = 90.00°, γ = 90.00°
Fractional coordinates of all 5 atoms:
Na 0.000 0.000 0.000
Ir 0.000 0.000 0.500
Ir 0.000 0.500 0.000
Ir 0.500 0.000 0.000
O 0.500 0.500 0.500

# 8
Here is a relaxed structure of Na4IrO4 from Alexandria. Energies are from PBE.

Calculated values
* space group: P4_2/nmc
* formation energy without anion corrections: -1.049 eV per atom

a = 6.384 Å, b = 6.384 Å, c = 6.222 Å
α = 90.00°, β = 90.00°, γ = 90.00°
Fractional coordinates of all 18 atoms:
Na 0.032 0.250 0.135
Na 0.250 0.032 0.635
Na 0.250 0.468 0.635
Na 0.468 0.250 0.135
Na 0.532 0.750 0.865
Na 0.750 0.532 0.365
Na 0.750 0.968 0.365
Na 0.968 0.750 0.865
Ir 0.250 0.750 0.250
Ir 0.750 0.250 0.750
O 0.045 0.750 0.483
O 0.250 0.545 0.017
O 0.250 0.955 0.017
O 0.455 0.750 0.483
O 0.545 0.250 0.517
O 0.750 0.045 0.983
O 0.750 0.455 0.983
O 0.955 0.250 0.517